Here is an optimized crystal structure of TbPmAg4 from Alexandria. Energies are from PBE.

abc: 5.7446 5.7446 5.7446
angles: 60.00 60.00 60.00
Closest atoms and distances in Å follow each position.
Fractional coordinates of all 6 atoms:
Tb (0.0000, 0.0000, 0.0000)  12 Ag 3.37, 4 Pm 3.52
Pm (0.7500, 0.7500, 0.7500)  12 Ag 3.37, 4 Tb 3.52
Ag (0.3748, 0.3748, 0.3748)  6 Ag 2.87-2.88
Ag (0.3748, 0.3748, 0.8756)  6 Ag 2.87-2.88
Ag (0.3748, 0.8756, 0.3748)  6 Ag 2.87-2.88
Ag (0.8756, 0.3748, 0.3748)  6 Ag 2.87-2.88

Calculated formation energy, eV/atom: -0.163
Energy relative to the lowest polymorph listed for this composition, meV per atom: 119.4
Total DFT energy (no corrections), eV for the cell shown: -21.76